(1)
Crystalline BaCa2In4 at its relaxed geometry, computed with PBE.

Calculated values
Total magnetization   0.00 μB per cell
Distance to the lowest polymorph of the same formula   0 meV/atom
Uncorrected energy   -19.88 eV/cell

Unit cell a=5.067 b=4.027 c=11.316 alpha=100.25 beta=102.94 gamma=90.00
Positions (direct):
1 Ca 0.805 0.805 0.610
2 Ca 0.195 0.195 0.390
3 Ba 0.500 0.000 0.000
4 In 0.651 0.651 0.303
5 In 0.349 0.349 0.697
6 In 0.073 0.573 0.146
7 In 0.927 0.427 0.854

=====

(2)
Crystalline Mg2ZrAlTl at its relaxed geometry, computed with PBE.

Calculated values
Total magnetization   0.00 μB per cell
Uncorrected energy   -14.33 eV/cell

Unit cell a=5.055 b=5.589 c=5.055 alpha=90.00 beta=90.00 gamma=90.00
Positions (direct):
1 Mg 0.000 0.000 0.500
2 Mg 0.500 0.000 0.000
3 Tl 0.000 0.000 0.000
4 Al 0.500 0.500 0.500
5 Zr 0.000 0.500 0.000

=====

(3)
Crystalline Ce3Dy5O12 at its relaxed geometry, computed with PBE.

Calculated values
Total magnetization   12.01 μB per cell
Uncorrected energy   -665.32 eV/cell

Unit cell a=11.878 b=11.878 c=11.878 alpha=109.47 beta=109.47 gamma=109.47
Positions (direct):
1 O 0.715 0.130 0.040
2 O 0.325 0.540 0.410
3 O 0.960 0.370 0.285
4 O 0.540 0.215 0.130
5 O 0.585 0.715 0.675
6 O 0.960 0.590 0.175
7 O 0.325 0.785 0.415
8 O 0.090 0.915 0.130
9 O 0.590 0.960 0.675
10 O 0.715 0.585 0.175
11 O 0.785 0.460 0.370
12 O 0.825 0.910 0.040
13 O 0.130 0.715 0.540
14 O 0.370 0.410 0.085
15 O 0.085 0.910 0.370
16 O 0.415 0.130 0.590
17 O 0.085 0.175 0.215
18 O 0.460 0.675 0.090
19 O 0.825 0.915 0.285
20 O 0.130 0.415 0.090
21 O 0.370 0.960 0.785
22 O 0.590 0.630 0.415
23 O 0.910 0.825 0.540
24 O 0.785 0.325 0.915
25 O 0.410 0.370 0.585
26 O 0.090 0.175 0.460
27 O 0.215 0.675 0.085
28 O 0.175 0.085 0.715
29 O 0.630 0.040 0.215
30 O 0.870 0.585 0.910
31 O 0.540 0.325 0.910
32 O 0.585 0.870 0.410
33 O 0.915 0.825 0.785
34 O 0.915 0.090 0.630
35 O 0.870 0.285 0.460
36 O 0.175 0.090 0.960
37 O 0.630 0.590 0.915
38 O 0.410 0.040 0.325
39 O 0.285 0.415 0.825
40 O 0.215 0.540 0.630
41 O 0.910 0.085 0.870
42 O 0.675 0.215 0.585
43 O 0.460 0.785 0.870
44 O 0.040 0.410 0.825
45 O 0.415 0.285 0.325
46 O 0.040 0.630 0.715
47 O 0.675 0.460 0.590
48 O 0.285 0.870 0.960
49 Ce 0.750 0.375 0.125
50 Ce 0.875 0.750 0.125
51 Ce 0.375 0.750 0.625
52 Ce 0.250 0.125 0.375
53 Ce 0.875 0.125 0.250
54 Ce 0.375 0.625 0.250
55 Ce 0.625 0.375 0.750
56 Ce 0.125 0.875 0.750
57 Ce 0.750 0.875 0.625
58 Ce 0.625 0.250 0.375
59 Ce 0.125 0.250 0.875
60 Ce 0.250 0.625 0.875
61 Dy 0.125 0.375 0.250
62 Dy 0.000 0.500 0.000
63 Dy 0.000 0.000 0.000
64 Dy 0.375 0.250 0.125
65 Dy 0.500 0.000 0.500
66 Dy 0.500 0.500 0.000
67 Dy 0.125 0.750 0.375
68 Dy 0.750 0.125 0.875
69 Dy 0.750 0.625 0.375
70 Dy 0.375 0.125 0.750
71 Dy 0.625 0.875 0.250
72 Dy 0.500 0.500 0.500
73 Dy 0.500 0.000 0.000
74 Dy 0.000 0.000 0.500
75 Dy 0.250 0.375 0.625
76 Dy 0.250 0.875 0.125
77 Dy 0.000 0.500 0.500
78 Dy 0.875 0.250 0.625
79 Dy 0.625 0.750 0.875
80 Dy 0.875 0.625 0.750

=====

(4)
Crystalline Si23Bi3 at its relaxed geometry, computed with PBE.

Calculated values
Total magnetization   0.00 μB per cell
Uncorrected energy   -263.14 eV/cell

Unit cell a=10.208 b=10.208 c=10.208 alpha=90.00 beta=90.00 gamma=90.00
Positions (direct):
1 Bi 0.250 0.500 0.000
2 Bi 0.750 0.500 0.000
3 Bi 0.500 0.000 0.250
4 Bi 0.500 0.000 0.750
5 Bi 0.000 0.250 0.500
6 Bi 0.000 0.750 0.500
7 Si 0.250 0.000 0.500
8 Si 0.750 0.000 0.500
9 Si 0.000 0.500 0.250
10 Si 0.000 0.500 0.750
11 Si 0.500 0.250 0.000
12 Si 0.500 0.750 0.000
13 Si 0.684 0.684 0.684
14 Si 0.684 0.316 0.316
15 Si 0.316 0.684 0.316
16 Si 0.316 0.316 0.684
17 Si 0.816 0.816 0.816
18 Si 0.816 0.184 0.184
19 Si 0.184 0.816 0.184
20 Si 0.184 0.184 0.816
21 Si 0.316 0.316 0.316
22 Si 0.316 0.684 0.684
23 Si 0.684 0.316 0.684
24 Si 0.684 0.684 0.316
25 Si 0.184 0.184 0.184
26 Si 0.184 0.816 0.816
27 Si 0.816 0.184 0.816
28 Si 0.816 0.816 0.184
29 Si 0.000 0.691 0.883
30 Si 0.000 0.309 0.117
31 Si 0.000 0.691 0.117
32 Si 0.000 0.309 0.883
33 Si 0.691 0.883 0.000
34 Si 0.691 0.117 0.000
35 Si 0.309 0.883 0.000
36 Si 0.309 0.117 0.000
37 Si 0.883 0.000 0.691
38 Si 0.883 0.000 0.309
39 Si 0.117 0.000 0.309
40 Si 0.117 0.000 0.691
41 Si 0.809 0.500 0.617
42 Si 0.809 0.500 0.383
43 Si 0.191 0.500 0.383
44 Si 0.191 0.500 0.617
45 Si 0.500 0.617 0.809
46 Si 0.500 0.383 0.191
47 Si 0.500 0.617 0.191
48 Si 0.500 0.383 0.809
49 Si 0.617 0.809 0.500
50 Si 0.617 0.191 0.500
51 Si 0.383 0.809 0.500
52 Si 0.383 0.191 0.500

=====

(5)
Crystalline BaAc2Pt at its relaxed geometry, computed with PBE.

Calculated values
Total magnetization   0.00 μB per cell
Distance to the lowest polymorph of the same formula   5 meV/atom
Uncorrected energy   -18.57 eV/cell

Unit cell a=4.427 b=4.427 c=10.902 alpha=78.29 beta=78.29 gamma=60.00
Positions (direct):
1 Ac 0.282 0.282 0.155
2 Ac 0.718 0.718 0.845
3 Ba 0.500 0.500 0.500
4 Pt 0.000 0.000 0.000

=====

(6)
Crystalline Y2GaAuBr at its relaxed geometry, computed with PBE.

Calculated values
Total magnetization   0.61 μB per cell
Uncorrected energy   -22.54 eV/cell

Unit cell a=5.670 b=4.728 c=5.670 alpha=90.00 beta=90.00 gamma=90.00
Positions (direct):
1 Y 0.000 0.000 0.500
2 Y 0.500 0.000 0.000
3 Au 0.000 0.000 0.000
4 Ga 0.000 0.500 0.000
5 Br 0.500 0.500 0.500

=====

(7)
Crystalline HoThMg17 at its relaxed geometry, computed with PBE.

Calculated values
Total magnetization   0.00 μB per cell
Uncorrected energy   -39.04 eV/cell

Unit cell a=7.768 b=7.768 c=7.768 alpha=82.18 beta=82.18 gamma=82.18
Positions (direct):
1 Ho 0.329 0.329 0.329
2 Th 0.670 0.670 0.670
3 Mg 0.303 0.001 0.695
4 Mg 0.695 0.303 0.001
5 Mg 0.001 0.695 0.303
6 Mg 0.303 0.695 0.001
7 Mg 0.001 0.303 0.695
8 Mg 0.695 0.001 0.303
9 Mg 0.351 0.845 0.351
10 Mg 0.351 0.351 0.845
11 Mg 0.845 0.351 0.351
12 Mg 0.645 0.168 0.645
13 Mg 0.645 0.645 0.168
14 Mg 0.168 0.645 0.645
15 Mg 0.995 0.505 0.995
16 Mg 0.995 0.995 0.505
17 Mg 0.505 0.995 0.995
18 Mg 0.902 0.902 0.902
19 Mg 0.100 0.100 0.100

=====

(8)
Crystalline TaHgRu2 at its relaxed geometry, computed with PBE.

Calculated values
Total magnetization   0.17 μB per cell
Uncorrected energy   -29.94 eV/cell

Unit cell a=5.098 b=5.098 c=5.098 alpha=135.78 beta=134.34 gamma=65.44
Positions (direct):
1 Hg 0.253 0.753 0.500
2 Ru 0.999 0.999 0.000
3 Ru 0.743 0.243 0.500
4 Ta 0.506 0.506 0.000

=====

(9)
Crystalline HoSc2Cu at its relaxed geometry, computed with PBE.

Calculated values
Total magnetization   0.36 μB per cell
Distance to the lowest polymorph of the same formula   158 meV/atom
Uncorrected energy   -21.16 eV/cell

Unit cell a=3.442 b=3.442 c=9.440 alpha=79.50 beta=79.50 gamma=60.00
Positions (direct):
1 Ho 0.501 0.501 0.496
2 Sc 0.067 0.067 0.800
3 Sc 0.266 0.266 0.201
4 Cu 0.666 0.666 0.003

=====

(10)
Crystalline Ru2W at its relaxed geometry, computed with PBE.

Calculated values
Total magnetization   0.00 μB per cell
Uncorrected energy   -30.93 eV/cell

Unit cell a=4.330 b=4.330 c=2.745 alpha=90.00 beta=90.00 gamma=120.00
Positions (direct):
1 Ru 0.667 0.333 0.000
2 Ru 0.333 0.667 0.000
3 W 0.000 0.000 0.500

=====

(11)
Crystalline Er2HgTe at its relaxed geometry, computed with PBE.

Calculated values
Total magnetization   0.45 μB per cell
Distance to the lowest polymorph of the same formula   128 meV/atom
Uncorrected energy   -15.37 eV/cell

Unit cell a=3.833 b=3.833 c=7.062 alpha=90.00 beta=90.00 gamma=90.00
Positions (direct):
1 Te 0.500 0.500 0.500
2 Hg 0.500 0.500 0.000
3 Er 0.000 0.000 0.751
4 Er 0.000 0.000 0.249

=====

(12)
Crystalline Mn2AlAu at its relaxed geometry, computed with PBE.

Calculated values
Total magnetization   6.88 μB per cell
Distance to the lowest polymorph of the same formula   226 meV/atom
Uncorrected energy   -24.96 eV/cell

Unit cell a=8.786 b=8.786 c=8.786 alpha=18.93 beta=18.93 gamma=18.93
Positions (direct):
1 Mn 0.997 0.997 0.997
2 Mn 0.503 0.503 0.503
3 Au 0.750 0.750 0.750
4 Al 0.250 0.250 0.250

=====

- Among the records above, which one has the lowest uncorrected energy?
  Ce3Dy5O12